1.
A plane-wave DFT calculation with PBE was carried out for a relaxed structure of TbPm2Br.

Calculated values
symmetry = P4/mmm (123)
formation energy (no corrections) = -0.4633 eV/atom

a b c (Å): 3.5843 3.5843 9.6637
angles (deg): 90.00 90.00 90.00
Last column: nearest neighbours and their distance in Å.
Positions (direct):
Tb 0.5000 0.5000 0.5000  4 Tb 3.58, 8 Pm 3.60
Pm 0.0000 0.0000 0.7641  4 Br 3.41, 4 Pm 3.58, 4 Tb 3.60
Pm 0.0000 0.0000 0.2359  4 Br 3.41, 4 Pm 3.58, 4 Tb 3.60
Br 0.5000 0.5000 0.0000  8 Pm 3.41, 4 Br 3.58



2.
A plane-wave DFT calculation with PBE was carried out for a relaxed structure of In2ReTc.

Calculated values
symmetry = P4/mmm (123)
calculated formation energy = 645 meV per atom

a b c (Å): 4.6448 4.6448 3.2428
angles (deg): 90.00 90.00 90.00
Last column: nearest neighbours and their distance in Å.
Positions (direct):
In 0.0000 0.0000 0.0000  4 Tc 2.83, 4 Re 2.83
In 0.5000 0.5000 0.0000  4 Re 2.83, 4 Tc 2.83
Re 0.5000 0.0000 0.5000  8 In 2.83
Tc 0.0000 0.5000 0.5000  8 In 2.83



3.
A plane-wave DFT calculation with PBE was carried out for a relaxed structure of Cd2NiAg.

Calculated values
symmetry = P4/mmm (123)
calculated formation energy = 60 meV per atom

a b c (Å): 3.7621 4.3077 4.3077
angles (deg): 90.00 90.00 90.00
Last column: nearest neighbours and their distance in Å.
Positions (direct):
Ag 0.5000 0.0000 0.5000  8 Cd 2.86, 4 Ni 3.05
Cd 0.0000 0.0000 0.0000  4 Ni 2.86, 4 Ag 2.86, 4 Cd 3.05
Cd 0.0000 0.5000 0.5000  4 Ni 2.86, 4 Ag 2.86, 4 Cd 3.05
Ni 0.5000 0.5000 0.0000  8 Cd 2.86, 4 Ag 3.05



4.
A plane-wave DFT calculation with PBE was carried out for a relaxed structure of LiPrCuRh.

Calculated values
symmetry = F-43m (216)
calculated formation energy = -168 meV per atom

a b c (Å): 4.7720 4.7720 4.7720
angles (deg): 60.00 60.00 60.00
Last column: nearest neighbours and their distance in Å.
Positions (direct):
Rh 0.7500 0.7500 0.7500  4 Pr 2.92, 4 Li 2.92
Cu 0.2500 0.2500 0.2500  4 Li 2.92, 4 Pr 2.92
Li 0.0000 0.0000 0.0000  4 Cu 2.92, 4 Rh 2.92
Pr 0.5000 0.5000 0.5000  4 Rh 2.92, 4 Cu 2.92



5.
A plane-wave DFT calculation with PBE was carried out for a relaxed structure of Pr6Nd2Cd.

Calculated values
symmetry = C2/c (15)
calculated formation energy = 8 meV per atom

a b c (Å): 11.6462 6.4466 11.6462
angles (deg): 105.97 47.69 105.97
Last column: nearest neighbours and their distance in Å.
Positions (direct):
Pr 0.9972 0.7902 0.8495  2 Cd 3.36-3.51, 6 Pr 3.46-3.64, 1 Nd 3.71
Pr 0.1505 0.7098 0.0028  2 Cd 3.36-3.51, 6 Pr 3.46-3.64, 1 Nd 3.71
Pr 0.8495 0.2902 0.9972  2 Cd 3.36-3.51, 6 Pr 3.46-3.64, 1 Nd 3.71
Pr 0.4174 0.4168 0.9169  5 Pr 3.37-3.64, 1 Cd 3.40, 4 Nd 3.55-3.65
Pr 0.0831 0.0832 0.5826  5 Pr 3.37-3.64, 1 Cd 3.40, 4 Nd 3.55-3.65
Pr 0.6506 0.4424 0.5025  2 Cd 3.36-3.50, 6 Pr 3.45-3.64, 1 Nd 3.71
Pr 0.5826 0.5832 0.0831  5 Pr 3.37-3.64, 1 Cd 3.40, 4 Nd 3.55-3.65
Pr 0.5025 0.9424 0.6506  2 Cd 3.36-3.50, 6 Pr 3.45-3.64, 1 Nd 3.71
Pr 0.4975 0.0576 0.3494  2 Cd 3.36-3.50, 6 Pr 3.45-3.64, 1 Nd 3.71
Pr 0.9169 0.9168 0.4174  5 Pr 3.37-3.64, 1 Cd 3.40, 4 Nd 3.55-3.65
Pr 0.0028 0.2098 0.1505  2 Cd 3.36-3.51, 6 Pr 3.46-3.64, 1 Nd 3.71
Pr 0.3494 0.5576 0.4975  2 Cd 3.36-3.50, 6 Pr 3.45-3.64, 1 Nd 3.71
Nd 0.3288 0.0642 0.1709  3 Nd 3.33-3.55, 6 Pr 3.55-3.71
Nd 0.1709 0.5642 0.3288  3 Nd 3.33-3.55, 6 Pr 3.55-3.71
Nd 0.8291 0.4358 0.6712  3 Nd 3.33-3.55, 6 Pr 3.55-3.71
Nd 0.6712 0.9358 0.8291  3 Nd 3.33-3.55, 6 Pr 3.55-3.71
Cd 0.2501 0.2500 0.7499  10 Pr 3.36-3.51
Cd 0.7499 0.7500 0.2501  10 Pr 3.36-3.51



6.
A plane-wave DFT calculation with PBE was carried out for a relaxed structure of Be2Co2Cu.

Calculated values
symmetry = P4/mbm (127)
calculated formation energy = -129 meV per atom

a b c (Å): 5.8857 5.8857 2.7178
angles (deg): 90.00 90.00 90.00
Last column: nearest neighbours and their distance in Å.
Positions (direct):
Co 0.6649 0.8351 0.5000  6 Be 2.19-2.21
Co 0.1649 0.6649 0.5000  6 Be 2.19-2.21
Co 0.3351 0.1649 0.5000  6 Be 2.19-2.21
Co 0.8351 0.3351 0.5000  6 Be 2.19-2.21
Be 0.8712 0.6288 0.0000  1 Be 2.14, 6 Co 2.19-2.21, 2 Cu 2.31
Be 0.1288 0.3712 0.0000  1 Be 2.14, 6 Co 2.19-2.21, 2 Cu 2.31
Be 0.6288 0.1288 0.0000  1 Be 2.14, 6 Co 2.19-2.21, 2 Cu 2.31
Be 0.3712 0.8712 0.0000  1 Be 2.14, 6 Co 2.19-2.21, 2 Cu 2.31
Cu 0.0000 0.0000 0.0000  4 Be 2.31, 8 Co 2.58
Cu 0.5000 0.5000 0.0000  4 Be 2.31, 8 Co 2.58



7.
A plane-wave DFT calculation with PBE was carried out for a relaxed structure of CaSb2P.

Calculated values
symmetry = Pmmm (47)
formation energy (no corrections) = -0.2310 eV/atom

a b c (Å): 4.3559 4.4153 5.1591
angles (deg): 90.00 90.00 90.00
Last column: nearest neighbours and their distance in Å.
Positions (direct):
Ca 0.5000 0.0000 0.5000  4 P 3.10, 8 Sb 3.38-3.40
P 0.0000 0.5000 0.5000  4 Ca 3.10, 8 Sb 3.38-3.40
Sb 0.5000 0.5000 0.0000  4 Sb 3.10, 4 P 3.38, 4 Ca 3.40
Sb 0.0000 0.0000 0.0000  4 Sb 3.10, 4 Ca 3.38, 4 P 3.40



8.
A plane-wave DFT calculation with PBE was carried out for a relaxed structure of MgZr2Si.

Calculated values
symmetry = P4/mmm (123)
formation energy (no corrections) = -0.2937 eV/atom

a b c (Å): 3.5892 3.5972 7.0697
angles (deg): 59.45 90.00 90.00
Last column: nearest neighbours and their distance in Å.
Positions (direct):
Si 0.5000 0.7500 0.7500  8 Zr 2.90, 2 Mg 3.04
Zr 0.0000 0.4807 0.5196  1 Zr 2.81, 4 Si 2.90, 4 Mg 3.03
Zr 0.0000 0.0193 0.9804  1 Zr 2.81, 4 Si 2.90, 4 Mg 3.03
Mg 0.5000 0.2500 0.2500  8 Zr 3.03, 2 Si 3.04



9.
A plane-wave DFT calculation with PBE was carried out for a relaxed structure of CuOsRh2.

Calculated values
symmetry = P4/mmm (123)
calculated formation energy = 306 meV per atom

a b c (Å): 4.5578 4.5578 2.7233
angles (deg): 90.00 90.00 90.00
Last column: nearest neighbours and their distance in Å.
Positions (direct):
Rh 0.0000 0.0000 0.0000  4 Os 2.65, 4 Cu 2.65, 2 Rh 2.72
Rh 0.5000 0.5000 0.0000  4 Cu 2.65, 4 Os 2.65, 2 Rh 2.72
Cu 0.5000 0.0000 0.5000  8 Rh 2.65, 2 Cu 2.72
Os 0.0000 0.5000 0.5000  8 Rh 2.65, 2 Os 2.72



10.
A plane-wave DFT calculation with PBE was carried out for a relaxed structure of Tb2TiAl.

Calculated values
symmetry = P4/mmm (123)
calculated formation energy = -43 meV per atom

a b c (Å): 3.4019 3.4019 8.3521
angles (deg): 90.00 90.00 90.00
Last column: nearest neighbours and their distance in Å.
Positions (direct):
Tb 0.0000 0.0000 0.2435  4 Al 3.15, 4 Ti 3.22, 4 Tb 3.40
Tb 0.0000 0.0000 0.7565  4 Al 3.15, 4 Ti 3.22, 4 Tb 3.40
Ti 0.5000 0.5000 0.5000  8 Tb 3.22, 4 Ti 3.40
Al 0.5000 0.5000 0.0000  8 Tb 3.15, 4 Al 3.40



11.
A plane-wave DFT calculation with PBE was carried out for a relaxed structure of PaCdNiAu.

Calculated values
symmetry = F-43m (216)
calculated formation energy = -198 meV per atom

a b c (Å): 4.8202 4.8202 4.8202
angles (deg): 60.00 60.00 60.00
Last column: nearest neighbours and their distance in Å.
Positions (direct):
Au 0.5000 0.5000 0.5000  4 Cd 2.95, 4 Pa 2.95
Cd 0.7500 0.7500 0.7500  4 Ni 2.95, 4 Au 2.95
Pa 0.2500 0.2500 0.2500  4 Ni 2.95, 4 Au 2.95
Ni 0.0000 0.0000 0.0000  4 Cd 2.95, 4 Pa 2.95



12.
A plane-wave DFT calculation with PBE was carried out for a relaxed structure of KAgSn2Pb.

Calculated values
symmetry = P4/mmm (123)
calculated formation energy = 985 meV per atom

a b c (Å): 5.8744 5.3835 5.8744
angles (deg): 90.00 90.00 90.00
Last column: nearest neighbours and their distance in Å.
Positions (direct):
Sn 0.0000 0.0000 0.5000  2 K 2.94
Sn 0.5000 0.0000 0.0000  2 K 2.94
Pb 0.5000 0.5000 0.5000  8 Sn 3.98, 4 Ag 4.15
Ag 0.0000 0.5000 0.0000  2 K 2.69
K 0.0000 0.0000 0.0000  2 Ag 2.69, 4 Sn 2.94



13.
A plane-wave DFT calculation with PBE was carried out for a relaxed structure of CsMn3V.

Calculated values
symmetry = Pm-3m (221)
calculated formation energy = 2657 meV per atom

a b c (Å): 5.1091 5.1091 5.1091
angles (deg): 90.00 90.00 90.00
Last column: nearest neighbours and their distance in Å.
Positions (direct):
Mn 0.5000 0.0000 0.0000  2 Cs 2.55
Mn 0.0000 0.5000 0.0000  2 Cs 2.55
Mn 0.0000 0.0000 0.5000  2 Cs 2.55
Cs 0.0000 0.0000 0.0000  6 Mn 2.55
V 0.5000 0.5000 0.5000  12 Mn 3.61



Number 1: density of states at the Fermi level 0.880 states/eV per atom. Number 2: density of states at the Fermi level 1.148 states/eV per atom. Number 3: density of states at the Fermi level 0.651 states/eV per atom. Number 4: density of states at the Fermi level 0.220 states/eV per atom. Number 5: density of states at the Fermi level 1.276 states/eV per atom. Number 6: density of states at the Fermi level 0.575 states/eV per atom. Number 7: density of states at the Fermi level 0.649 states/eV per atom. Number 8: density of states at the Fermi level 0.480 states/eV per atom. Number 9: density of states at the Fermi level 1.327 states/eV per atom. Number 10: density of states at the Fermi level 0.722 states/eV per atom. Number 11: density of states at the Fermi level 1.326 states/eV per atom. Number 12: density of states at the Fermi level 0.332 states/eV per atom. Number 13: density of states at the Fermi level 1.104 states/eV per atom.